VASP calculation (GGA-PBE) on a relaxed structure of TbPrMnAl.

```
data_TbPrMnAl
_chemical_formula_sum 'Tb4 Pr4 Mn4 Al4'
_cell_length_a 7.3486
_cell_length_b 7.3486
_cell_length_c 7.3486
_cell_angle_alpha 90.00
_cell_angle_beta 90.00
_cell_angle_gamma 90.00
_space_group_name_H-M_alt 'F -4 3 m'
_space_group_IT_number 216
_space_group_name_Hall 'F -4 2 3'
loop_
_atom_site_label
_atom_site_fract_x
_atom_site_fract_y
_atom_site_fract_z
Tb1 0.0000 0.0000 0.0000
Pr1 0.0000 0.0000 0.5000
Mn1 0.2500 0.2500 0.2500
Al1 0.2500 0.2500 0.7500
```

Values from the calculation:
total magnetization = 3.26 μB per formula unit


VASP calculation (GGA-PBE) on a relaxed structure of PrTmMnAl.

```
data_PrTmMnAl
_chemical_formula_sum 'Pr4 Tm4 Mn4 Al4'
_cell_length_a 7.2799
_cell_length_b 7.2799
_cell_length_c 7.2799
_cell_angle_alpha 90.00
_cell_angle_beta 90.00
_cell_angle_gamma 90.00
_space_group_name_H-M_alt 'F -4 3 m'
_space_group_IT_number 216
_space_group_name_Hall 'F -4 2 3'
loop_
_atom_site_label
_atom_site_fract_x
_atom_site_fract_y
_atom_site_fract_z
Pr1 0.0000 0.0000 0.0000
Tm1 0.0000 0.0000 0.5000
Mn1 0.2500 0.2500 0.2500
Al1 0.2500 0.2500 0.7500
```

Values from the calculation:
total magnetization = 3.27 μB per formula unit


VASP calculation (GGA-PBE) on a relaxed structure of PrYMnAl.

```
data_PrYMnAl
_chemical_formula_sum 'Pr4 Y4 Mn4 Al4'
_cell_length_a 7.3466
_cell_length_b 7.3466
_cell_length_c 7.3466
_cell_angle_alpha 90.00
_cell_angle_beta 90.00
_cell_angle_gamma 90.00
_space_group_name_H-M_alt 'F -4 3 m'
_space_group_IT_number 216
_space_group_name_Hall 'F -4 2 3'
loop_
_atom_site_label
_atom_site_fract_x
_atom_site_fract_y
_atom_site_fract_z
Pr1 0.0000 0.0000 0.0000
Y1 0.0000 0.0000 0.5000
Mn1 0.2500 0.2500 0.7500
Al1 0.2500 0.2500 0.2500
```

Values from the calculation:
total magnetization = 3.29 μB per formula unit


VASP calculation (GGA-PBE) on a relaxed structure of Mn3AlPt4.

```
data_Mn3AlPt4
_chemical_formula_sum 'Mn6 Al2 Pt8'
_cell_length_a 14.8599
_cell_length_b 4.0806
_cell_length_c 4.0807
_cell_angle_alpha 90.00
_cell_angle_beta 105.86
_cell_angle_gamma 90.00
_space_group_name_H-M_alt 'C 1 2/m 1'
_space_group_IT_number 12
_space_group_name_Hall '-C 2y'
loop_
_atom_site_label
_atom_site_fract_x
_atom_site_fract_y
_atom_site_fract_z
Mn1 0.0000 0.0000 0.0000
Mn2 0.2493 0.5000 0.7492
Al1 0.0000 0.5000 0.5000
Pt1 0.1211 0.0000 0.6207
Pt2 0.1211 0.5000 0.1206
```

Values from the calculation:
total magnetization = 12.69 μB per formula unit


VASP calculation (GGA-PBE) on a relaxed structure of MnAl5Pt6.

```
data_MnAl5Pt6
_chemical_formula_sum 'Mn2 Al10 Pt12'
_cell_length_a 12.8591
_cell_length_b 6.7921
_cell_length_c 4.1896
_cell_angle_alpha 90.00
_cell_angle_beta 104.64
_cell_angle_gamma 90.00
_space_group_name_H-M_alt 'C 1 2/m 1'
_space_group_IT_number 12
_space_group_name_Hall '-C 2y'
loop_
_atom_site_label
_atom_site_fract_x
_atom_site_fract_y
_atom_site_fract_z
Mn1 0.0000 0.0000 0.0000
Al1 0.0000 0.5000 0.0000
Al2 0.1560 0.0000 0.6563
Al3 0.1746 0.5000 0.6774
Pt1 0.0000 0.2715 0.5000
Pt2 0.1686 0.2663 0.1717
```

Values from the calculation:
total magnetization = 4.10 μB per formula unit


VASP calculation (GGA-PBE) on a relaxed structure of Mn2AlPt.

```
data_Mn2AlPt
_chemical_formula_sum 'Mn8 Al4 Pt4'
_cell_length_a 5.9190
_cell_length_b 5.9190
_cell_length_c 5.9190
_cell_angle_alpha 90.00
_cell_angle_beta 90.00
_cell_angle_gamma 90.00
_space_group_name_H-M_alt 'F m -3 m'
_space_group_IT_number 225
_space_group_name_Hall '-F 4 2 3'
loop_
_atom_site_label
_atom_site_fract_x
_atom_site_fract_y
_atom_site_fract_z
Mn1 0.2500 0.2500 0.2500
Al1 0.0000 0.0000 0.0000
Pt1 0.0000 0.0000 0.5000
```

Values from the calculation:
total magnetization = 0.00 μB per formula unit


| no. | VASP energy (eV per atom) |
| --- | --- |
| 1 | -5.600 |
| 2 | -5.570 |
| 3 | -6.072 |
| 4 | -7.495 |
| 5 | -6.231 |
| 6 | -7.014 |